Record 1
DFT (GGA-PBE) results for a relaxed Ca2PrMg crystal.

Lattice parameters (Å, degrees): 10.0514 10.0514 10.0514 148.01 148.01 45.86
Fractional coordinates of all 8 atoms:
Ca 0.0000 0.5000 0.5000
Ca 0.1466 0.1466 0.0000
Ca 0.5000 0.0000 0.5000
Ca 0.8534 0.8534 0.0000
Pr 0.3519 0.3519 0.0000
Pr 0.6481 0.6481 0.0000
Mg 0.2500 0.7500 0.5000
Mg 0.7500 0.2500 0.5000

Computed properties:
E ... -2.614 eV/atom
Magnetization ... 0.0 μB per formula unit
ΔH_f (0 K) ... -0.020 eV per atom
Space group ... I4/mmm (139)
Polymorph energy (0 for the lowest one) ... 0.0 kJ/mol of formula units
Crystal system ... tetragonal


Record 2
DFT (GGA-PBE) results for a relaxed CaPr5Mg4 crystal.

Lattice parameters (Å, degrees): 3.9292 3.9292 20.5501 90.00 90.00 90.00
Fractional coordinates of all 10 atoms:
Ca 0.0000 0.0000 0.0000
Pr 0.5000 0.5000 0.1244
Pr 0.5000 0.5000 0.3098
Pr 0.5000 0.5000 0.5000
Pr 0.5000 0.5000 0.6902
Pr 0.5000 0.5000 0.8756
Mg 0.0000 0.0000 0.2161
Mg 0.0000 0.0000 0.4044
Mg 0.0000 0.0000 0.5956
Mg 0.0000 0.0000 0.7839

Computed properties:
E ... -3.303 eV/atom
Magnetization ... 0.0 μB per formula unit
ΔH_f (0 K) ... -0.075 eV per atom
Space group ... P4/mmm (123)
Crystal system ... tetragonal